An optimized crystal structure of SrMo3F. Source: the Alexandria database, functional PBE+U.

abc: 5.084 5.084 5.084
angles: 90.00 90.00 90.00
Space group Pm-3m (No. 221)
One atom of each set of equivalent atoms:
Sr  0.000  0.000  0.000
Mo  0.000  0.500  0.500
F  0.500  0.500  0.500

Properties
- size of the total moment (μB/atom) = 2.64
- energy (eV per cell) = -20.61